Record 1
# Er3BP2Rh9, optimized geometry, DFT PBE-GGA
# calculated volume: 16.43 Å³/atom
# N(E_F): 0.290 states/eV/atom
# electronic total energy: -7.2820 eV/atom
# size of the total moment: 0.00 μB/f.u.
# formation energy: -792 meV per atom
data_Er3BP2Rh9
_chemical_formula_sum 'Er3 B1 P2 Rh9'
_symmetry_space_group_name_H-M 'P -3 m 1'
_symmetry_Int_Tables_number 164
_symmetry_space_group_name_Hall '-P 3 2"'
_cell_length_a 6.1950
_cell_length_b 6.1950
_cell_length_c 7.4165
_cell_angle_alpha 90.00
_cell_angle_beta 90.00
_cell_angle_gamma 120.00
loop_
_atom_site_label
_atom_site_type_symbol
_atom_site_fract_x
_atom_site_fract_y
_atom_site_fract_z
Er1 Er 0.0000 0.0000 0.0000
Er2 Er 0.3333 0.6667 0.6625
B1 B 0.0000 0.0000 0.5000
P1 P 0.3333 0.6667 0.1833
Rh1 Rh 0.0000 0.5000 0.0000
Rh2 Rh 0.1566 0.3133 0.3362

***

Record 2
# Ti2NbZnCr, optimized geometry, DFT PBE-GGA
# calculated volume: 20.47 Å³/atom
# N(E_F): 1.702 states/eV/atom
# electronic total energy: -6.1253 eV/atom
# size of the total moment: 0.00 μB/f.u.
# formation energy: 1226 meV per atom
data_Ti2NbZnCr
_chemical_formula_sum 'Ti2 Nb1 Zn1 Cr1'
_symmetry_space_group_name_H-M 'P 4/m m m'
_symmetry_Int_Tables_number 123
_symmetry_space_group_name_Hall '-P 4 2'
_cell_length_a 4.8106
_cell_length_b 4.8106
_cell_length_c 4.4232
_cell_angle_alpha 90.00
_cell_angle_beta 90.00
_cell_angle_gamma 90.00
loop_
_atom_site_label
_atom_site_type_symbol
_atom_site_fract_x
_atom_site_fract_y
_atom_site_fract_z
Ti1 Ti 0.0000 0.5000 0.0000
Nb1 Nb 0.0000 0.0000 0.0000
Zn1 Zn 0.5000 0.5000 0.5000
Cr1 Cr 0.0000 0.0000 0.5000

***

Record 3
# Sb2IrRu, optimized geometry, DFT PBE-GGA
# excess energy over the best structure of this formula in the dataset: 207.4 meV/atom
# calculated volume: 18.15 Å³/atom
# N(E_F): 0.966 states/eV/atom
# electronic total energy: -6.3599 eV/atom
# size of the total moment: 1.11 μB/f.u.
data_Sb2IrRu
_chemical_formula_sum 'Sb8 Ir4 Ru4'
_symmetry_space_group_name_H-M 'F m -3 m'
_symmetry_Int_Tables_number 225
_symmetry_space_group_name_Hall '-F 4 2 3'
_cell_length_a 6.6221
_cell_length_b 6.6221
_cell_length_c 6.6221
_cell_angle_alpha 90.00
_cell_angle_beta 90.00
_cell_angle_gamma 90.00
loop_
_atom_site_label
_atom_site_type_symbol
_atom_site_fract_x
_atom_site_fract_y
_atom_site_fract_z
Sb1 Sb 0.2500 0.2500 0.2500
Ir1 Ir 0.0000 0.0000 0.0000
Ru1 Ru 0.0000 0.0000 0.5000

***

electronic total energy of number 1 (Er3BP2Rh9)? -7.2820 eV/atom